1.
Ba3GaGe2, relaxed, DFT PBE-GGA; total magnetization = 0.00 μB per formula unit; offset from the most stable computed form = 0 meV per atom; space group = P2_1/c; ΔH_f (0 K) = -0.471 eV/atom; density of states at the Fermi level = 0.217 states/eV per atom; crystal system = monoclinic
1.0
-2.866 -5.968 -5.836
-3.957 -5.494 7.562
-6.782 8.289 2.474
Ba Ga Ge
12 4 8
Direct
0.275 0.901 0.046 Ba
0.225 0.401 0.454 Ba
0.725 0.099 0.954 Ba
0.775 0.599 0.546 Ba
0.413 0.531 0.151 Ba
0.087 0.031 0.349 Ba
0.587 0.469 0.849 Ba
0.913 0.969 0.651 Ba
0.885 0.687 0.177 Ba
0.615 0.187 0.323 Ba
0.115 0.313 0.823 Ba
0.385 0.813 0.677 Ba
0.496 0.891 0.417 Ga
0.004 0.391 0.083 Ga
0.504 0.109 0.583 Ga
0.996 0.609 0.917 Ga
0.696 0.864 0.312 Ge
0.804 0.364 0.188 Ge
0.304 0.136 0.688 Ge
0.196 0.636 0.812 Ge
0.299 0.703 0.365 Ge
0.201 0.203 0.135 Ge
0.701 0.297 0.635 Ge
0.799 0.797 0.865 Ge

***

2.
BaGa12Ge4, relaxed, DFT PBE-GGA; total magnetization = 0.00 μB per formula unit; space group = Im-3; ΔH_f (0 K) = -0.047 eV/atom; density of states at the Fermi level = 0.360 states/eV per atom; crystal system = cubic
1.0
-1.497 4.221 -6.436
-6.716 -1.517 3.752
4.777 4.043 4.724
Ba Ga Ge
1 12 4
Direct
0.000 0.000 0.000 Ba
0.853 0.358 0.212 Ga
0.358 0.505 0.147 Ga
0.788 0.147 0.642 Ga
0.358 0.212 0.853 Ga
0.212 0.853 0.358 Ga
0.642 0.495 0.853 Ga
0.505 0.147 0.358 Ga
0.495 0.853 0.642 Ga
0.642 0.788 0.147 Ga
0.853 0.642 0.495 Ga
0.147 0.358 0.505 Ga
0.147 0.642 0.788 Ga
0.000 0.500 0.000 Ge
0.500 0.000 0.000 Ge
0.500 0.500 0.500 Ge
0.000 0.000 0.500 Ge

***

3.
BaGa3Ge3, relaxed, DFT PBE-GGA; total magnetization = 0.00 μB per formula unit; offset from the most stable computed form = 0 meV per atom; space group = Pm-3n; ΔH_f (0 K) = -0.232 eV/atom; density of states at the Fermi level = 0.403 states/eV per atom; crystal system = cubic
1.0
7.113 0.000 0.000
0.000 7.113 0.000
0.000 0.000 7.113
Ge Ba Ga
6 2 6
Direct
0.000 0.250 0.500 Ge
0.000 0.750 0.500 Ge
0.500 0.000 0.750 Ge
0.750 0.500 0.000 Ge
0.500 0.000 0.250 Ge
0.250 0.500 0.000 Ge
0.500 0.500 0.500 Ba
0.000 0.000 0.000 Ba
0.250 0.000 0.500 Ga
0.000 0.500 0.250 Ga
0.500 0.750 0.000 Ga
0.750 0.000 0.500 Ga
0.000 0.500 0.750 Ga
0.500 0.250 0.000 Ga